(1)
# IrRhSe2 | Alexandria via LeMat-Bulk | GGA-PBE | relaxed
# - Final energy: -5.85 eV/atom
# - Crystal system: tetragonal
# - Mass density: 10.1 Mg/m³
# - M_tot: 0.0 μB/f.u.
# - Raw formation energy: -4.8 kJ per mole of atoms
data_IrRhSe2
_chemical_formula_sum 'Ir1 Rh1 Se2'
_cell_length_a 3.460
_cell_length_b 3.460
_cell_length_c 6.246
_cell_angle_alpha 90.00
_cell_angle_beta 90.00
_cell_angle_gamma 90.00
_symmetry_space_group_name_H-M 'P 4 m m'
_symmetry_Int_Tables_number 99
loop_
_symmetry_equiv_pos_as_xyz
'x,y,z'
'-y,x,z'
'-x,-y,z'
'y,-x,z'
'-x,y,z'
'y,x,z'
'x,-y,z'
'-y,-x,z'
loop_
_atom_site_label
_atom_site_type_symbol
_atom_site_fract_x
_atom_site_fract_y
_atom_site_fract_z
Ir1 Ir 0.000 0.000 0.000
Rh1 Rh 0.500 0.500 0.249
Se1 Se 0.000 0.000 0.389
Se2 Se 0.500 0.500 0.857


(2)
# IrRhSe2 | Alexandria via LeMat-Bulk | GGA-PBE | relaxed
# - Final energy: -5.37 eV/atom
# - Crystal system: tetragonal
# - Mass density: 11.6 Mg/m³
# - M_tot: 0.0 μB/f.u.
# - Raw formation energy: 40.6 kJ per mole of atoms
data_IrRhSe2
_chemical_formula_sum 'Ir2 Rh2 Se4'
_cell_length_a 3.806
_cell_length_b 3.806
_cell_length_c 8.921
_cell_angle_alpha 90.00
_cell_angle_beta 90.00
_cell_angle_gamma 90.00
_symmetry_space_group_name_H-M 'I -4 m 2'
_symmetry_Int_Tables_number 119
_symmetry_space_group_name_Hall 'I -4 -2'
loop_
_atom_site_label
_atom_site_type_symbol
_atom_site_fract_x
_atom_site_fract_y
_atom_site_fract_z
Ir1 Ir 0.000 0.000 0.000
Rh1 Rh 0.000 0.500 0.750
Se1 Se 0.000 0.000 0.500
Se2 Se 0.000 0.500 0.250


(3)
# IrRhSe4 | Alexandria via LeMat-Bulk | GGA-PBE | relaxed
# - Final energy: -5.05 eV/atom
# - Crystal system: tetragonal
# - Mass density: 6.9 Mg/m³
# - Excess energy over the best structure of this formula in the dataset: 97.9 meV/atom
# - M_tot: 0.0 μB/f.u.
# - Raw formation energy: -2.1 kJ per mole of atoms
data_IrRhSe4
_chemical_formula_sum 'Ir2 Rh2 Se8'
_cell_length_a 4.868
_cell_length_b 4.868
_cell_length_c 12.388
_cell_angle_alpha 90.00
_cell_angle_beta 90.00
_cell_angle_gamma 90.00
_symmetry_space_group_name_H-M 'I -4 m 2'
_symmetry_Int_Tables_number 119
_symmetry_space_group_name_Hall 'I -4 -2'
loop_
_atom_site_label
_atom_site_type_symbol
_atom_site_fract_x
_atom_site_fract_y
_atom_site_fract_z
Ir1 Ir 0.000 0.000 0.000
Rh1 Rh 0.000 0.500 0.250
Se1 Se 0.000 0.000 0.201
Se2 Se 0.000 0.500 0.051


(4)
# IrRh2Se | Alexandria via LeMat-Bulk | GGA-PBE | relaxed
# - Final energy: -6.57 eV/atom
# - Crystal system: monoclinic
# - Mass density: 13.0 Mg/m³
# - M_tot: 0.0 μB/f.u.
# - Raw formation energy: 18.5 kJ per mole of atoms
data_IrRh2Se
_chemical_formula_sum 'Ir2 Rh4 Se2'
_cell_length_a 9.231
_cell_length_b 2.872
_cell_length_c 4.777
_cell_angle_alpha 90.00
_cell_angle_beta 106.25
_cell_angle_gamma 90.00
_symmetry_space_group_name_H-M 'C 1 m 1'
_symmetry_Int_Tables_number 8
loop_
_symmetry_equiv_pos_as_xyz
'x,y,z'
'x,-y,z'
'x+1/2,y+1/2,z'
'x+1/2,-y+1/2,z'
loop_
_atom_site_label
_atom_site_type_symbol
_atom_site_fract_x
_atom_site_fract_y
_atom_site_fract_z
Ir1 Ir 0.000 0.000 0.000
Rh1 Rh 0.026 0.500 0.500
Rh2 Rh 0.254 0.500 0.214
Se1 Se 0.282 0.000 0.673


(5)
# IrRhSe2 | Alexandria via LeMat-Bulk | GGA-PBE | relaxed
# - Final energy: -5.44 eV/atom
# - Crystal system: orthorhombic
# - Mass density: 10.4 Mg/m³
# - M_tot: 0.0 μB/f.u.
# - Raw formation energy: 34.6 kJ per mole of atoms
data_IrRhSe2
_chemical_formula_sum 'Ir2 Rh2 Se4'
_cell_length_a 2.888
_cell_length_b 5.054
_cell_length_c 9.926
_cell_angle_alpha 90.00
_cell_angle_beta 90.00
_cell_angle_gamma 90.00
_symmetry_space_group_name_H-M 'C m m 2'
_symmetry_Int_Tables_number 35
loop_
_symmetry_equiv_pos_as_xyz
'x,y,z'
'-x,-y,z'
'-x,y,z'
'x,-y,z'
'x+1/2,y+1/2,z'
'-x+1/2,-y+1/2,z'
'-x+1/2,y+1/2,z'
'x+1/2,-y+1/2,z'
loop_
_atom_site_label
_atom_site_type_symbol
_atom_site_fract_x
_atom_site_fract_y
_atom_site_fract_z
Ir1 Ir 0.000 0.000 0.000
Rh1 Rh 0.000 0.500 0.237
Se1 Se 0.000 0.000 0.441
Se2 Se 0.000 0.500 0.793


(6)
# IrRhSe2 | Alexandria via LeMat-Bulk | GGA-PBE | relaxed
# - Final energy: -5.88 eV/atom
# - Crystal system: orthorhombic
# - Mass density: 8.3 Mg/m³
# - M_tot: 0.0 μB/f.u.
# - Raw formation energy: -7.8 kJ per mole of atoms
data_IrRhSe2
_chemical_formula_sum 'Ir2 Rh2 Se4'
_cell_length_a 3.826
_cell_length_b 3.894
_cell_length_c 12.211
_cell_angle_alpha 90.00
_cell_angle_beta 90.00
_cell_angle_gamma 90.00
_symmetry_space_group_name_H-M 'I m m m'
_symmetry_Int_Tables_number 71
_symmetry_space_group_name_Hall '-I 2 2'
loop_
_atom_site_label
_atom_site_type_symbol
_atom_site_fract_x
_atom_site_fract_y
_atom_site_fract_z
Ir1 Ir 0.000 0.000 0.000
Rh1 Rh 0.000 0.000 0.500
Se1 Se 0.000 0.500 0.368


(7)
# IrRh2Se | Alexandria via LeMat-Bulk | GGA-PBE | relaxed
# - Final energy: -6.41 eV/atom
# - Crystal system: orthorhombic
# - Mass density: 12.9 Mg/m³
# - M_tot: 0.0 μB/f.u.
# - Raw formation energy: 33.7 kJ per mole of atoms
data_IrRh2Se
_chemical_formula_sum 'Ir2 Rh4 Se2'
_cell_length_a 2.759
_cell_length_b 4.841
_cell_length_c 9.178
_cell_angle_alpha 90.00
_cell_angle_beta 90.00
_cell_angle_gamma 90.00
_symmetry_space_group_name_H-M 'C m m m'
_symmetry_Int_Tables_number 65
_symmetry_space_group_name_Hall '-C 2 2'
loop_
_atom_site_label
_atom_site_type_symbol
_atom_site_fract_x
_atom_site_fract_y
_atom_site_fract_z
Ir1 Ir 0.000 0.000 0.000
Rh1 Rh 0.000 0.500 0.250
Se1 Se 0.000 0.000 0.500


(8)
# IrRh2Se | Alexandria via LeMat-Bulk | GGA-PBE | relaxed
# - Final energy: -6.58 eV/atom
# - Crystal system: orthorhombic
# - Mass density: 13.2 Mg/m³
# - M_tot: 0.0 μB/f.u.
# - Raw formation energy: 18.0 kJ per mole of atoms
data_IrRh2Se
_chemical_formula_sum 'Ir2 Rh4 Se2'
_cell_length_a 5.469
_cell_length_b 7.670
_cell_length_c 2.854
_cell_angle_alpha 90.00
_cell_angle_beta 90.00
_cell_angle_gamma 90.00
_symmetry_space_group_name_H-M 'C m m m'
_symmetry_Int_Tables_number 65
_symmetry_space_group_name_Hall '-C 2 2'
loop_
_atom_site_label
_atom_site_type_symbol
_atom_site_fract_x
_atom_site_fract_y
_atom_site_fract_z
Ir1 Ir 0.000 0.000 0.000
Rh1 Rh 0.250 0.250 0.500
Se1 Se 0.000 0.500 0.000